DFT (GGA-PBE) results for crystalline Mo2IrPd2 at its relaxed geometry.

M_tot	0.19	μB/atom
formation energy	0.45	eV per atom

a = 7.647 Å, b = 7.647 Å, c = 2.754 Å
α = 90.00°, β = 90.00°, γ = 90.00°
Space group P4/mbm (No. 127)
Inequivalent atoms, fractional coordinates:
Mo 0.120 0.380 0.000 x4
Ir 0.000 0.000 0.000 x2
Pd 0.174 0.674 0.500 x4